Entry a
Compound: Li4TlCd3
Source: the Alexandria database
Functional: PBE
Structure: relaxed Values from VASP.

The structure in Quantum ESPRESSO input format:
```
&SYSTEM
  ibrav = 0, nat = 8, ntyp = 3
/
ATOMIC_SPECIES
Cd 112.41 Cd.upf
Li 6.94 Li.upf
Tl 204.38 Tl.upf
CELL_PARAMETERS angstrom
4.9018 0.0000 0.0000
0.0000 4.7870 0.6690
-2.4509 1.4866 6.9460
ATOMIC_POSITIONS crystal
Cd 0.0000 0.5000 0.0000
Cd 0.8559 0.1445 0.7118
Cd 0.1441 0.8555 0.2882
Li 0.3712 0.6284 0.7424
Li 0.6288 0.3716 0.2576
Li 0.7496 0.7508 0.4992
Li 0.2504 0.2492 0.5008
Tl 0.5000 0.0000 0.0000
```

Entry b
Compound: Li4TlCd3
Source: the Alexandria database
Functional: PBE
Structure: relaxed Values from VASP.

The structure in Quantum ESPRESSO input format:
```
&SYSTEM
  ibrav = 0, nat = 8, ntyp = 3
/
ATOMIC_SPECIES
Li 6.94 Li.upf
Cd 112.41 Cd.upf
Tl 204.38 Tl.upf
CELL_PARAMETERS angstrom
-3.7661 0.6064 -2.8885
2.7802 -0.8448 -3.8022
-0.8967 -6.3315 3.8029
ATOMIC_POSITIONS crystal
Li 0.8737 0.8734 0.7474
Li 0.3736 0.3740 0.7473
Li 0.1263 0.1266 0.2526
Li 0.6264 0.6260 0.2527
Cd 0.2478 0.7485 0.4956
Cd 0.0000 0.5000 0.0000
Cd 0.7522 0.2515 0.5044
Tl 0.5000 0.0000 0.0000
```

List of relative energies, unit eV/atom: entry a 0.053; entry b 0.000

Entry a
Compound: LiZrTlCd
Source: the Alexandria database
Functional: PBE
Structure: relaxed Values from VASP.

The structure in Quantum ESPRESSO input format:
```
&SYSTEM
  ibrav = 0, nat = 4, ntyp = 4
/
ATOMIC_SPECIES
Tl 204.38 Tl.upf
Zr 91.22 Zr.upf
Cd 112.41 Cd.upf
Li 6.94 Li.upf
CELL_PARAMETERS angstrom
3.2305 0.0000 0.0000
0.0000 3.2305 0.0000
0.0000 0.0000 7.8939
ATOMIC_POSITIONS crystal
Tl 0.5000 0.5000 0.7949
Zr 0.0000 0.0000 0.0796
Cd 0.5000 0.5000 0.3459
Li 0.0000 0.0000 0.5643
```

Entry b
Compound: LiZrTlCd
Source: the Alexandria database
Functional: PBE
Structure: relaxed Values from VASP.

The structure in Quantum ESPRESSO input format:
```
&SYSTEM
  ibrav = 0, nat = 4, ntyp = 4
/
ATOMIC_SPECIES
Cd 112.41 Cd.upf
Tl 204.38 Tl.upf
Li 6.94 Li.upf
Zr 91.22 Zr.upf
CELL_PARAMETERS angstrom
4.9381 0.0000 0.0000
2.4691 4.2765 0.0000
2.4691 1.4255 4.0320
ATOMIC_POSITIONS crystal
Cd 0.7500 0.7500 0.7500
Tl 0.2500 0.2500 0.2500
Li 0.0000 0.0000 0.0000
Zr 0.5000 0.5000 0.5000
```

List of relative energies, unit eV/atom: entry a 0.000; entry b 0.088

Entry a
Compound: LiTmCd4
Source: the Alexandria database
Functional: PBE
Structure: relaxed Values from VASP.

The structure in Quantum ESPRESSO input format:
```
&SYSTEM
  ibrav = 0, nat = 6, ntyp = 3
/
ATOMIC_SPECIES
Cd 112.41 Cd.upf
Tm 168.93 Tm.upf
Li 6.94 Li.upf
CELL_PARAMETERS angstrom
5.8163 0.0000 0.0000
2.9081 5.0371 0.0000
2.9081 1.6790 4.7490
ATOMIC_POSITIONS crystal
Cd 0.6248 0.6248 0.1256
Cd 0.1256 0.6248 0.6248
Cd 0.6248 0.1256 0.6248
Cd 0.6248 0.6248 0.6248
Tm 0.0000 0.0000 0.0000
Li 0.2500 0.2500 0.2500
```

Entry b
Compound: LiTmCd4
Source: the Alexandria database
Functional: PBE
Structure: relaxed Values from VASP.

The structure in Quantum ESPRESSO input format:
```
&SYSTEM
  ibrav = 0, nat = 6, ntyp = 3
/
ATOMIC_SPECIES
Cd 112.41 Cd.upf
Li 6.94 Li.upf
Tm 168.93 Tm.upf
CELL_PARAMETERS angstrom
-0.8174 1.5084 3.4727
1.9362 -3.0737 3.9509
4.3593 6.1837 0.5002
ATOMIC_POSITIONS crystal
Cd 0.1853 0.4791 0.1503
Cd 0.3575 0.9780 0.3070
Cd 0.6425 0.0220 0.6930
Cd 0.8147 0.5209 0.8497
Li 0.0000 0.0000 0.0000
Tm 0.5000 0.5000 0.5000
```

Entry c
Compound: LiTmCd4
Source: the Alexandria database
Functional: PBE
Structure: relaxed Values from VASP.

The structure in Quantum ESPRESSO input format:
```
&SYSTEM
  ibrav = 0, nat = 6, ntyp = 3
/
ATOMIC_SPECIES
Cd 112.41 Cd.upf
Li 6.94 Li.upf
Tm 168.93 Tm.upf
CELL_PARAMETERS angstrom
-0.4743 -4.5756 1.8021
-1.3174 -4.1141 -4.0203
5.0989 -2.7024 1.2527
ATOMIC_POSITIONS crystal
Cd 0.2479 0.0841 0.4200
Cd 0.2486 0.4193 0.0836
Cd 0.7514 0.5807 0.9164
Cd 0.7521 0.9159 0.5800
Li 0.0000 0.0000 0.0000
Tm 0.5000 0.5000 0.5000
```

List of relative energies, unit eV/atom: entry a 0.060; entry b 0.008; entry c 0.000